1.
Computed, not measured: a relaxed LiCa2Hf crystal at the PBE level of DFT.

CIF file:
```
data_LiCa2Hf
_chemical_formula_sum 'Li1 Ca2 Hf1'
_cell_length_a 12.3580
_cell_length_b 12.3580
_cell_length_c 12.3580
_cell_angle_alpha 15.46
_cell_angle_beta 15.46
_cell_angle_gamma 15.46
_symmetry_space_group_name_H-M 'P 1'
_symmetry_Int_Tables_number 1
loop_
_symmetry_equiv_pos_as_xyz
'x,y,z'
loop_
_atom_site_label
_atom_site_type_symbol
_atom_site_fract_x
_atom_site_fract_y
_atom_site_fract_z
Li1 Li 0.0000 0.0000 0.0000
Ca1 Ca 0.4123 0.4123 0.4123
Ca2 Ca 0.5877 0.5877 0.5877
Hf1 Hf 0.5000 0.5000 0.5000
```

Summary:
Energy above the most stable polymorph in this dataset = 0.0 kJ/mol of formula units



2.
Computed, not measured: a relaxed Ce2NiOs crystal at the PBE level of DFT.

CIF file:
```
data_Ce2NiOs
_chemical_formula_sum 'Ce4 Ni2 Os2'
_cell_length_a 5.8551
_cell_length_b 4.0288
_cell_length_c 7.5297
_cell_angle_alpha 90.00
_cell_angle_beta 108.29
_cell_angle_gamma 90.00
_symmetry_space_group_name_H-M 'P 1'
_symmetry_Int_Tables_number 1
loop_
_symmetry_equiv_pos_as_xyz
'x,y,z'
loop_
_atom_site_label
_atom_site_type_symbol
_atom_site_fract_x
_atom_site_fract_y
_atom_site_fract_z
Ce1 Ce 0.2282 0.2500 0.4306
Ce2 Ce 0.2283 0.2500 0.9351
Ce3 Ce 0.7717 0.7500 0.0649
Ce4 Ce 0.7718 0.7500 0.5694
Ni1 Ni 0.3244 0.7500 0.7033
Ni2 Ni 0.6756 0.2500 0.2967
Os1 Os 0.3195 0.7500 0.2095
Os2 Os 0.6805 0.2500 0.7905
```



3.
Computed, not measured: a relaxed TiBeSeN2 crystal at the PBE level of DFT.

CIF file:
```
data_TiBeSeN2
_chemical_formula_sum 'Ti1 Be1 Se1 N2'
_cell_length_a 3.7581
_cell_length_b 3.7581
_cell_length_c 5.6136
_cell_angle_alpha 90.00
_cell_angle_beta 90.00
_cell_angle_gamma 90.00
_symmetry_space_group_name_H-M 'P 1'
_symmetry_Int_Tables_number 1
loop_
_symmetry_equiv_pos_as_xyz
'x,y,z'
loop_
_atom_site_label
_atom_site_type_symbol
_atom_site_fract_x
_atom_site_fract_y
_atom_site_fract_z
Ti1 Ti 0.0000 0.0000 0.0000
Be1 Be 0.5000 0.5000 0.5000
Se1 Se 0.0000 0.0000 0.5000
N1 N 0.0000 0.5000 0.0000
N2 N 0.5000 0.0000 0.0000
```

Summary:
Formation energy from raw total energies = 0.449 eV/atom
Energy above the most stable polymorph in this dataset = 0.0 kJ/mol of formula units



4.
Computed, not measured: a relaxed RePtW2 crystal at the PBE level of DFT.

CIF file:
```
data_RePtW2
_chemical_formula_sum 'Re1 Pt1 W2'
_cell_length_a 4.4825
_cell_length_b 4.4825
_cell_length_c 4.4825
_cell_angle_alpha 60.00
_cell_angle_beta 60.00
_cell_angle_gamma 60.00
_symmetry_space_group_name_H-M 'P 1'
_symmetry_Int_Tables_number 1
loop_
_symmetry_equiv_pos_as_xyz
'x,y,z'
loop_
_atom_site_label
_atom_site_type_symbol
_atom_site_fract_x
_atom_site_fract_y
_atom_site_fract_z
Re1 Re 0.0000 0.0000 0.0000
Pt1 Pt 0.5000 0.5000 0.5000
W1 W 0.2500 0.2500 0.2500
W2 W 0.7500 0.7500 0.7500
```

Summary:
Energy above the most stable polymorph in this dataset = 147.4 kJ/mol of formula units



5.
Computed, not measured: a relaxed Nd5ErCd3 crystal at the PBE level of DFT.

CIF file:
```
data_Nd5ErCd3
_chemical_formula_sum 'Nd10 Er2 Cd6'
_cell_length_a 9.4477
_cell_length_b 9.4477
_cell_length_c 7.0341
_cell_angle_alpha 90.00
_cell_angle_beta 90.00
_cell_angle_gamma 120.00
_symmetry_space_group_name_H-M 'P 1'
_symmetry_Int_Tables_number 1
loop_
_symmetry_equiv_pos_as_xyz
'x,y,z'
loop_
_atom_site_label
_atom_site_type_symbol
_atom_site_fract_x
_atom_site_fract_y
_atom_site_fract_z
Nd1 Nd 0.0000 0.3340 0.2500
Nd2 Nd 0.0000 0.6660 0.7500
Nd3 Nd 0.3333 0.6667 0.0000
Nd4 Nd 0.3333 0.6667 0.5000
Nd5 Nd 0.3340 0.0000 0.2500
Nd6 Nd 0.3340 0.3340 0.7500
Nd7 Nd 0.6660 0.0000 0.7500
Nd8 Nd 0.6660 0.6660 0.2500
Nd9 Nd 0.6667 0.3333 0.0000
Nd10 Nd 0.6667 0.3333 0.5000
Er1 Er 0.0000 0.0000 0.0000
Er2 Er 0.0000 0.0000 0.5000
Cd1 Cd 0.0000 0.3280 0.7500
Cd2 Cd 0.0000 0.6720 0.2500
Cd3 Cd 0.3280 0.0000 0.7500
Cd4 Cd 0.3280 0.3280 0.2500
Cd5 Cd 0.6720 0.0000 0.2500
Cd6 Cd 0.6720 0.6720 0.7500
```



6.
Computed, not measured: a relaxed Li5AgBi4 crystal at the PBE level of DFT.

CIF file:
```
data_Li5AgBi4
_chemical_formula_sum 'Li5 Ag1 Bi4'
_cell_length_a 3.3608
_cell_length_b 3.3608
_cell_length_c 19.8213
_cell_angle_alpha 90.00
_cell_angle_beta 90.00
_cell_angle_gamma 90.00
_symmetry_space_group_name_H-M 'P 1'
_symmetry_Int_Tables_number 1
loop_
_symmetry_equiv_pos_as_xyz
'x,y,z'
loop_
_atom_site_label
_atom_site_type_symbol
_atom_site_fract_x
_atom_site_fract_y
_atom_site_fract_z
Li1 Li 0.0000 0.0000 0.0000
Li2 Li 0.0000 0.0000 0.2134
Li3 Li 0.0000 0.0000 0.4210
Li4 Li 0.0000 0.0000 0.5790
Li5 Li 0.0000 0.0000 0.7866
Ag1 Ag 0.5000 0.5000 0.5000
Bi1 Bi 0.5000 0.5000 0.1068
Bi2 Bi 0.5000 0.5000 0.3211
Bi3 Bi 0.5000 0.5000 0.6789
Bi4 Bi 0.5000 0.5000 0.8932
```



Which electronic total energy belongs to each record? In order, -13.80 -30.03 -29.51 -43.25 -32.74 -31.39 eV per formula unit.